Density functional theory data (PBE-GGA) for a relaxed structure of K2Hf3S6.

Computed properties:
Energy relative to the elements, uncorrected, eV/atom: -1.5710
Crystal system: monoclinic

Unit cell a=6.3216 b=6.3216 c=7.9392 alpha=82.37 beta=74.60 gamma=60.00
Element x y z (fractional)
K  0.1667  0.6667  0.5000
K  0.8333  0.3333  0.5000
Hf  0.0000  0.0000  0.0000
Hf  0.3332  0.3337  0.0000
Hf  0.6668  0.6663  0.0000
S  0.3983  0.6684  0.8053
S  0.7298  0.0000  0.8053
S  0.0667  0.3316  0.8053
S  0.2702  0.0000  0.1947
S  0.6017  0.3316  0.1947
S  0.9333  0.6684  0.1947

=====

Density functional theory data (PBE-GGA) for a relaxed structure of TbY4Tm4.

Computed properties:
Formation enthalpy at 0 K, eV per atom: 0.03
Crystal system: tetragonal

Unit cell a=4.9852 b=7.9065 c=7.9065 alpha=84.30 beta=71.62 gamma=71.62
Element x y z (fractional)
Tb  0.0000  0.0000  0.0000
Y  0.6686  0.3315  0.3313
Y  0.3314  0.6685  0.6687
Y  0.9999  0.6687  0.3315
Y  0.0001  0.3313  0.6685
Tm  0.6662  0.6674  0.0001
Tm  0.3338  0.3326  0.9999
Tm  0.6663  0.9999  0.6674
Tm  0.3337  0.0001  0.3326

=====

Density functional theory data (PBE-GGA) for a relaxed structure of SmPuZrO6.

Computed properties:
Energy relative to the elements, uncorrected, eV/atom: -3.0978
Crystal system: trigonal

Unit cell a=5.6482 b=5.6482 c=9.7769 alpha=90.00 beta=90.00 gamma=120.00
Element x y z (fractional)
Sm  0.0000  0.0000  0.0000
Sm  0.0000  0.0000  0.5000
Pu  0.6667  0.3333  0.2500
Pu  0.3333  0.6667  0.7500
Zr  0.3333  0.6667  0.2500
Zr  0.6667  0.3333  0.7500
O  0.6470  0.6486  0.1373
O  0.0016  0.3530  0.1373
O  0.3530  0.0016  0.6373
O  0.9984  0.6470  0.8627
O  0.3514  0.3530  0.3627
O  0.0016  0.6486  0.3627
O  0.6486  0.0016  0.8627
O  0.6470  0.9984  0.3627
O  0.9984  0.3514  0.6373
O  0.3514  0.9984  0.1373
O  0.6486  0.6470  0.6373
O  0.3530  0.3514  0.8627

=====

Density functional theory data (PBE-GGA) for a relaxed structure of HoPa4As5.

Computed properties:
Formation enthalpy at 0 K, eV per atom: -1.14
Crystal system: tetragonal

Unit cell a=5.7867 b=7.0873 c=7.0873 alpha=80.41 beta=65.91 gamma=65.91
Element x y z (fractional)
Ho  0.0011  0.0000  0.0000
Pa  0.4008  0.4000  0.8005
Pa  0.8008  0.8005  0.6000
Pa  0.2013  0.1995  0.4000
Pa  0.6013  0.6000  0.1995
As  0.9013  0.3984  0.8011
As  0.2997  0.8011  0.6016
As  0.7024  0.1989  0.3984
As  0.1008  0.6016  0.1989
As  0.5011  0.0000  0.0000

=====

Density functional theory data (PBE-GGA) for a relaxed structure of MnTc2Ag.

Computed properties:
Formation enthalpy at 0 K, eV per atom: 0.33
Crystal system: orthorhombic

Unit cell a=2.6396 b=2.6396 c=8.9247 alpha=90.00 beta=90.00 gamma=107.86
Element x y z (fractional)
Ag  0.5000  0.5000  0.2500
Mn  0.5000  0.5000  0.7500
Tc  0.0000  0.0000  0.9744
Tc  0.0000  0.0000  0.5256

=====

Density functional theory data (PBE-GGA) for a relaxed structure of Sm6Ir2I3N.

Computed properties:
Energy relative to the elements, uncorrected, eV/atom: -1.0130
Crystal system: monoclinic

Unit cell a=7.0260 b=7.0260 c=8.2701 alpha=98.00 beta=98.00 gamma=119.84
Element x y z (fractional)
Sm  0.9426  0.6305  0.8252
Sm  0.7434  0.7434  0.1767
Sm  0.0574  0.3695  0.1748
Sm  0.6305  0.9426  0.8252
Sm  0.2566  0.2566  0.8233
Sm  0.3695  0.0574  0.1748
Ir  0.3331  0.6669  0.0000
Ir  0.6669  0.3331  0.0000
I  0.1665  0.8335  0.5000
I  0.8335  0.1665  0.5000
I  0.5000  0.5000  0.5000
N  0.0000  0.0000  0.0000

=====

Density functional theory data (PBE-GGA) for a relaxed structure of ErLuTlHg.

Computed properties:
Formation enthalpy at 0 K, eV per atom: -0.37
Crystal system: cubic

Unit cell a=5.2535 b=5.2535 c=5.2535 alpha=60.00 beta=60.00 gamma=60.00
Element x y z (fractional)
Tl  0.0000  0.0000  0.0000
Lu  0.7500  0.7500  0.7500
Hg  0.5000  0.5000  0.5000
Er  0.2500  0.2500  0.2500

=====

Density functional theory data (PBE-GGA) for a relaxed structure of La2GeSb.

Computed properties:
Energy relative to the elements, uncorrected, eV/atom: -0.7631
Crystal system: cubic

Unit cell a=5.4802 b=5.4802 c=5.4802 alpha=60.00 beta=60.00 gamma=60.00
Element x y z (fractional)
Sb  0.5000  0.5000  0.5000
Ge  0.0000  0.0000  0.0000
La  0.2500  0.2500  0.2500
La  0.7500  0.7500  0.7500

=====

no.,N(E_F) (states/eV per atom)
1,0.493
2,1.440
3,1.085
4,1.207
5,0.822
6,0.024
7,1.040
8,1.819